P:
! LiCaCu2 | Alexandria | PBE | relaxed; values from VASP
! **Theoretical density**: 3.79 g cm⁻³
! **Crystal system**: orthorhombic
! **N(E_F)**: 2.98 states/eV per cell
&SYSTEM
  ibrav = 0, nat = 8, ntyp = 3
/
ATOMIC_SPECIES
Li 6.94 Li.upf
Ca 40.08 Ca.upf
Cu 63.55 Cu.upf
CELL_PARAMETERS angstrom
-0.475 2.450 -3.511
-5.179 1.138 1.494
2.076 5.123 3.295
ATOMIC_POSITIONS angstrom
Li -2.723 4.560 0.909
Li -1.655 0.364 0.478
Ca -4.689 2.203 -0.471
Ca 0.311 2.721 1.857
Cu -1.765 4.295 3.237
Cu -0.537 5.751 1.444
Cu -2.597 2.242 1.916
Cu -1.781 2.682 -0.529

Q:
! LiCaCu2 | Alexandria | PBE | relaxed; values from VASP
! **Theoretical density**: 3.86 g cm⁻³
! **Crystal system**: cubic
! **N(E_F)**: 1.70 states/eV per cell
&SYSTEM
  ibrav = 0, nat = 4, ntyp = 3
/
ATOMIC_SPECIES
Ca 40.08 Ca.upf
Cu 63.55 Cu.upf
Li 6.94 Li.upf
CELL_PARAMETERS angstrom
0.000 3.345 3.345
3.345 0.000 3.345
3.345 3.345 0.000
ATOMIC_POSITIONS angstrom
Ca 3.345 3.345 3.345
Cu 1.673 1.673 1.673
Cu 5.018 5.018 5.018
Li 0.000 0.000 0.000

Unit: meV per atom. Relative energies: P 0; Q 108.

P:
! LiCaCu2 | Alexandria | PBE | relaxed; values from VASP
! **Theoretical density**: 3.84 g cm⁻³
! **Crystal system**: tetragonal
! **N(E_F)**: 2.12 states/eV per cell
&SYSTEM
  ibrav = 0, nat = 4, ntyp = 3
/
ATOMIC_SPECIES
Ca 40.08 Ca.upf
Cu 63.55 Cu.upf
Li 6.94 Li.upf
CELL_PARAMETERS angstrom
-2.981 -1.202 -0.873
1.288 -3.061 -0.183
-1.505 -1.024 6.546
ATOMIC_POSITIONS angstrom
Ca -2.037 -2.941 4.648
Cu -0.098 -0.067 0.428
Cu -1.179 -2.358 0.919
Li -0.637 -0.433 2.768

Q:
! LiCaCu2 | Alexandria | PBE | relaxed; values from VASP
! **Theoretical density**: 3.60 g cm⁻³
! **Crystal system**: monoclinic
! **N(E_F)**: 1.53 states/eV per cell
&SYSTEM
  ibrav = 0, nat = 4, ntyp = 3
/
ATOMIC_SPECIES
Ca 40.08 Ca.upf
Cu 63.55 Cu.upf
Li 6.94 Li.upf
CELL_PARAMETERS angstrom
4.166 0.000 0.000
0.000 3.669 0.178
0.000 1.522 5.333
ATOMIC_POSITIONS angstrom
Ca 2.083 4.089 4.496
Cu 0.000 0.673 0.161
Cu 2.083 0.622 1.401
Li 0.000 2.403 2.210

R:
! LiCaCu2 | Alexandria | PBE | relaxed; values from VASP
! **Theoretical density**: 4.12 g cm⁻³
! **Crystal system**: cubic
! **N(E_F)**: 1.36 states/eV per cell
&SYSTEM
  ibrav = 0, nat = 4, ntyp = 3
/
ATOMIC_SPECIES
Ca 40.08 Ca.upf
Cu 63.55 Cu.upf
Li 6.94 Li.upf
CELL_PARAMETERS angstrom
-3.117 3.416 -0.191
-2.432 1.127 3.773
0.820 4.005 2.171
ATOMIC_POSITIONS angstrom
Ca -2.365 4.274 2.876
Cu 0.000 0.000 0.000
Cu -3.547 6.411 4.315
Li -1.182 2.137 1.438

Unit: meV per atom. Relative energies: P 69; Q 0; R 49.

P:
! LiCaCu3 | Alexandria | PBE | relaxed; values from VASP
! **Theoretical density**: 2.70 g cm⁻³
! **Crystal system**: cubic
! **N(E_F)**: 0.73 states/eV per cell
&SYSTEM
  ibrav = 0, nat = 5, ntyp = 3
/
ATOMIC_SPECIES
Ca 40.08 Ca.upf
Cu 63.55 Cu.upf
Li 6.94 Li.upf
CELL_PARAMETERS angstrom
-2.641 1.444 -4.319
-4.551 -1.035 2.437
-0.180 4.956 1.767
ATOMIC_POSITIONS angstrom
Ca 0.000 0.000 0.000
Cu -2.275 -0.517 1.218
Cu -0.090 2.478 0.884
Cu -1.321 0.722 -2.160
Li -3.686 2.683 -0.057

Q:
! LiCaCu3 | Alexandria | PBE | relaxed; values from VASP
! **Theoretical density**: 4.52 g cm⁻³
! **Crystal system**: tetragonal
! **N(E_F)**: 1.80 states/eV per cell
&SYSTEM
  ibrav = 0, nat = 5, ntyp = 3
/
ATOMIC_SPECIES
Li 6.94 Li.upf
Ca 40.08 Ca.upf
Cu 63.55 Cu.upf
CELL_PARAMETERS angstrom
4.137 0.000 0.000
0.000 4.137 0.000
-2.068 -2.068 5.105
ATOMIC_POSITIONS angstrom
Li 2.068 2.068 1.415
Ca 0.000 0.000 0.103
Cu 0.000 2.068 2.791
Cu 2.068 0.000 2.791
Cu 0.000 0.000 4.029

R:
! LiCaCu3 | Alexandria | PBE | relaxed; values from VASP
! **Theoretical density**: 4.56 g cm⁻³
! **Crystal system**: cubic
! **N(E_F)**: 1.56 states/eV per cell
&SYSTEM
  ibrav = 0, nat = 5, ntyp = 3
/
ATOMIC_SPECIES
Ca 40.08 Ca.upf
Cu 63.55 Cu.upf
Li 6.94 Li.upf
CELL_PARAMETERS angstrom
4.423 0.000 0.000
0.000 4.423 0.000
0.000 0.000 4.423
ATOMIC_POSITIONS angstrom
Ca 2.212 2.212 2.212
Cu 0.000 2.212 0.000
Cu 0.000 0.000 2.212
Cu 2.212 0.000 0.000
Li 0.000 0.000 0.000

Unit: meV per atom. Relative energies: P 947; Q 0; R 218.

P:
! LiCa3Cu | Alexandria | PBE | relaxed; values from VASP
! **Theoretical density**: 2.04 g cm⁻³
! **Crystal system**: monoclinic
! **N(E_F)**: 6.68 states/eV per cell
&SYSTEM
  ibrav = 0, nat = 10, ntyp = 3
/
ATOMIC_SPECIES
Li 6.94 Li.upf
Ca 40.08 Ca.upf
Cu 63.55 Cu.upf
CELL_PARAMETERS angstrom
4.103 0.000 0.000
0.000 8.183 -3.311
0.000 -0.081 9.275
ATOMIC_POSITIONS angstrom
Li 3.077 5.859 3.282
Li 1.026 2.243 2.681
Ca 1.026 4.898 0.760
Ca 3.077 3.204 5.203
Ca 1.026 0.291 6.220
Ca 3.077 1.840 -0.244
Ca 3.077 7.812 -0.257
Ca 1.026 6.262 6.208
Cu 3.077 4.787 -1.435
Cu 1.026 3.315 7.399

Q:
! LiCa3Cu | Alexandria | PBE | relaxed; values from VASP
! **Theoretical density**: 1.78 g cm⁻³
! **Crystal system**: cubic
! **N(E_F)**: 3.34 states/eV per cell
&SYSTEM
  ibrav = 0, nat = 5, ntyp = 3
/
ATOMIC_SPECIES
Ca 40.08 Ca.upf
Cu 63.55 Cu.upf
Li 6.94 Li.upf
CELL_PARAMETERS angstrom
5.621 0.000 0.000
0.000 5.621 0.000
0.000 0.000 5.621
ATOMIC_POSITIONS angstrom
Ca 0.000 2.811 0.000
Ca 0.000 0.000 2.811
Ca 2.811 0.000 0.000
Cu 0.000 0.000 0.000
Li 2.811 2.811 2.811

Unit: meV per atom. Relative energies: P 0; Q 80.